Material: RbLiH2
Method: DFT, PBE-GGA
State: relaxed

```
8
Lattice="-0.3068 -0.6795 -5.8578 -2.8488 -5.1188 0.7430 -4.9474 -1.0297 -2.5978" Properties=species:S:1:pos:R:3 pbc="T T T"
H -1.7413 -1.2259 -3.3893
H -3.0991 -3.6377 -1.7457
H -5.2968 -3.6705 -3.7613
H -6.0689 -5.1219 -6.5289
Rb 0.0000 0.0000 0.0000
Rb -3.4160 -2.3041 -5.5065
Li -1.5778 -2.8991 -2.5574
Li -4.6870 -4.5238 -2.2061
```

Output
Space group: I-42d (122)
Density, g/cm3: 2.33
ΔE to the lowest computed polymorph, eV per formula unit: 0.00
Magnetic moment, μB per cell: 0.00